(1)
Density functional theory data (PBE) for a relaxed Sr3Zr3N5 crystal.

Properties
Magnetization, μB/cell: 0.00
Space group: P-1, No. 2
Fermi-level density of states, states/eV/atom: 0.348
ΔE_f (raw), eV per atom: -1.096

a b c (Å): 6.0756 8.4024 9.1397
angles (deg): 110.31 101.65 103.00
Last column: nearest neighbours and their distance in Å.
Sites, in units of the cell vectors:
N  0.8194  0.3282  0.2169  2 Zr 2.12-2.13
Sr  0.7283  0.6853  0.2515  3 N 2.68-2.85
N  0.7259  0.1042  0.4761  3 Zr 2.09-2.25
N  0.7332  0.7356  0.5583  2 Zr 2.12-2.19
Zr  0.1228  0.6861  0.0085  4 N 2.13-2.26
Zr  0.8772  0.3139  0.9915  4 N 2.13-2.26
Sr  0.7463  0.4409  0.5971  5 N 2.62-2.76
Zr  0.1093  0.8666  0.7003  4 N 2.12-2.23
Zr  0.3299  0.0151  0.3621  4 N 2.09-2.25
Zr  0.8907  0.1334  0.2997  4 N 2.12-2.23
Sr  0.3536  0.1953  0.0980  3 N 2.58-2.82
N  0.1806  0.6718  0.7831  2 Zr 2.12-2.13
N  0.2668  0.2644  0.4417  2 Zr 2.12-2.19
N  0.7645  0.5032  0.9143  2 Zr 2.14-2.16
N  0.9970  0.0922  0.8415  3 Zr 2.18-2.26
Sr  0.2537  0.5591  0.4029  5 N 2.62-2.76
N  0.2355  0.4968  0.0857  2 Zr 2.14-2.16
Sr  0.2717  0.3147  0.7485  3 N 2.68-2.85
Sr  0.6464  0.8047  0.9020  3 N 2.58-2.82
Zr  0.6701  0.9849  0.6379  4 N 2.09-2.25
N  0.2741  0.8958  0.5239  3 Zr 2.09-2.25
N  0.0030  0.9078  0.1585  3 Zr 2.18-2.26


(2)
Density functional theory data (PBE) for a relaxed CaFe2Re crystal.

Properties
Magnetization, μB/cell: 1.61
Space group: P4/mmm, No. 123
Fermi-level density of states, states/eV/atom: 1.092
Total energy, eV per formula unit: -29.79

a b c (Å): 2.9930 2.9930 7.0330
angles (deg): 90.00 90.00 90.00
Last column: nearest neighbours and their distance in Å.
Sites, in units of the cell vectors:
Ca  0.5000  0.5000  0.7500  4 Ca 2.99, 8 Fe 3.03
Fe  0.0000  0.0000  0.0581  4 Re 2.51, 1 Fe 2.70
Fe  0.0000  0.0000  0.4419  4 Re 2.51, 1 Fe 2.70
Re  0.5000  0.5000  0.2500  8 Fe 2.51